No. 1
Cd2PdCl2 after structural relaxation, computed with PBE-GGA.

Computed properties:
relative energy among the computed polymorphs = 61 meV per atom
raw formation energy = -117 meV per atom

The structure in POSCAR format:
```
Cd2PdCl2
1.0
5.7533 0.0000 0.0000
0.0000 5.7533 0.0000
2.8767 2.8767 3.7866
Cl Cd Pd
2 2 1
Direct
0.3049 0.3049 0.3901 Cl
0.6951 0.6951 0.6099 Cl
0.7500 0.2500 0.5000 Cd
0.2500 0.7500 0.5000 Cd
0.0000 0.0000 0.0000 Pd
```

=====

No. 2
La2Tb9Nd after structural relaxation, computed with PBE-GGA.

Computed properties:
relative energy among the computed polymorphs = 50 meV per atom
ΔH_f (0 K) = 0.074 eV/atom

The structure in POSCAR format:
```
La2Tb9Nd
1.0
-2.7703 -2.0866 -0.5605
6.9331 -9.0764 -0.4791
-4.4743 3.2531 10.0039
Tb Nd La
9 1 2
Direct
0.5000 0.3455 0.1727 Tb
0.5000 0.1727 0.8273 Tb
0.0000 0.5000 0.5000 Tb
0.5000 0.1727 0.3455 Tb
0.0000 0.0000 0.5000 Tb
0.5000 0.8273 0.6545 Tb
0.0000 0.5000 0.0000 Tb
0.5000 0.6545 0.8273 Tb
0.5000 0.8273 0.1727 Tb
0.0000 0.0000 0.0000 Nd
0.0000 0.6667 0.3333 La
0.0000 0.3333 0.6667 La
```

=====

No. 3
K12Sr3Br5 after structural relaxation, computed with PBE-GGA.

Computed properties:
raw formation energy = -623 meV per atom

The structure in POSCAR format:
```
K12Sr3Br5
1.0
-0.3825 -14.3635 -12.2078
-3.5211 -6.4226 17.3736
-13.1118 12.6727 -4.7931
K Br Sr
48 20 12
Direct
0.0096 0.6007 0.6914 K
0.0907 0.9089 0.3993 K
0.4089 0.0096 0.3182 K
0.5096 0.3182 0.9089 K
0.1007 0.6914 0.5096 K
0.9089 0.8182 0.5096 K
0.4089 0.3993 0.5907 K
0.4093 0.3086 0.3182 K
0.1914 0.6818 0.0907 K
0.6818 0.1914 0.5907 K
0.1914 0.5096 0.6007 K
0.6007 0.0096 0.1914 K
0.5907 0.8993 0.4089 K
0.5911 0.6007 0.4093 K
0.9904 0.3993 0.3086 K
0.9093 0.0911 0.6007 K
0.4093 0.1007 0.5911 K
0.4904 0.6818 0.0911 K
0.8993 0.5907 0.9089 K
0.5911 0.9904 0.6818 K
0.0911 0.9093 0.1007 K
0.9093 0.8182 0.8086 K
0.8086 0.4904 0.3993 K
0.3086 0.8993 0.9904 K
0.5096 0.1914 0.1007 K
0.0907 0.1818 0.1914 K
0.0911 0.1818 0.4904 K
0.9904 0.5911 0.1818 K
0.8993 0.3086 0.4904 K
0.9089 0.0907 0.8993 K
0.5907 0.6914 0.6818 K
0.8182 0.9089 0.0096 K
0.6914 0.5907 0.1818 K
0.1818 0.0907 0.6914 K
0.1007 0.4093 0.0911 K
0.3993 0.4089 0.0907 K
0.4904 0.8086 0.8993 K
0.3993 0.9904 0.8086 K
0.6007 0.5911 0.9093 K
0.3182 0.8086 0.4093 K
0.6914 0.1007 0.0096 K
0.0096 0.4089 0.8182 K
0.1818 0.0911 0.9904 K
0.3086 0.4093 0.8182 K
0.8086 0.3182 0.9093 K
0.3182 0.5096 0.4089 K
0.6818 0.4904 0.5911 K
0.8182 0.9093 0.3086 K
0.0000 0.0000 0.5000 Br
0.1250 0.7500 0.3750 Br
0.5000 0.5000 0.5000 Br
0.0000 0.5000 0.0000 Br
0.6250 0.8750 0.2500 Br
0.3750 0.1250 0.7500 Br
0.6250 0.7500 0.8750 Br
0.1250 0.3750 0.2500 Br
0.8750 0.6250 0.7500 Br
0.2500 0.8750 0.1250 Br
0.5000 0.0000 0.5000 Br
0.2500 0.3750 0.6250 Br
0.8750 0.2500 0.6250 Br
0.5000 0.0000 0.0000 Br
0.3750 0.2500 0.1250 Br
0.7500 0.1250 0.8750 Br
0.0000 0.5000 0.5000 Br
0.5000 0.5000 0.0000 Br
0.7500 0.6250 0.3750 Br
0.0000 0.0000 0.0000 Br
0.3750 0.7500 0.6250 Sr
0.8750 0.7500 0.1250 Sr
0.2500 0.6250 0.8750 Sr
0.2500 0.1250 0.3750 Sr
0.3750 0.6250 0.2500 Sr
0.1250 0.8750 0.7500 Sr
0.6250 0.2500 0.3750 Sr
0.7500 0.8750 0.6250 Sr
0.6250 0.3750 0.7500 Sr
0.1250 0.2500 0.8750 Sr
0.8750 0.1250 0.2500 Sr
0.7500 0.3750 0.1250 Sr
```